[1]
8
Lattice="5.2153 0.0000 0.0000 0.0000 5.2153 0.0000 2.6077 2.6077 4.9619" Properties=species:S:1:pos:R:3 comment="P2WO (PBE+U, optimized geometry)" crystal_system=tetragonal sg="No. 122" dft_energy_ev_per_atom=-5.214 dos_at_fermi_per_ev_cell=3.1 pbc="T T T"
P 6.5192 6.2981 3.7215
P 3.9115 4.1326 3.7215
P 1.5249 3.9115 1.2405
P 3.6904 1.3038 1.2405
W 5.2153 2.6077 2.4810
W 0.0000 0.0000 0.0000
O 2.6077 2.6077 0.0000
O 2.6077 5.2153 2.4810



[2]
24
Lattice="-3.8883 2.3377 -2.3953 -3.8637 -3.5329 2.8240 -0.6159 6.6968 7.5354" Properties=species:S:1:pos:R:3 comment="PWO4 (PBE+U, optimized geometry)" crystal_system=orthorhombic sg="No. 62" dft_energy_ev_per_atom=-7.427 dos_at_fermi_per_ev_cell=0.0 pbc="T T T"
O -3.9212 3.6455 2.3283
O -3.6487 6.0651 3.1664
O -3.1393 0.8811 3.6429
O -3.6810 -1.7675 2.1500
O -3.7545 4.4142 7.2213
O -5.3343 2.9695 8.3760
O -5.6518 1.4463 3.4742
O -3.0335 2.5320 -0.4120
O -4.4466 1.8561 5.6358
O -4.6134 1.0874 0.7428
O -6.7592 5.2753 6.7494
O -4.6868 7.2690 5.8140
O -2.7160 4.0553 4.4898
O -4.7192 -0.5636 4.7976
O -1.6087 0.2262 1.2146
O -5.2286 4.6205 4.3212
W -6.6383 1.0517 1.6309
W -5.5804 3.5789 6.2400
W -1.7295 4.4498 6.3331
W -2.7875 1.9226 1.7240
P -4.0171 3.8225 8.6836
P -4.5438 0.9759 4.4018
P -3.8241 4.5256 3.5622
P -4.3508 1.6790 -0.7196



[3]
5
Lattice="3.7489 0.0000 0.0000 0.0000 3.7489 0.0000 0.0000 0.0000 3.7489" Properties=species:S:1:pos:R:3 comment="PWO3 (PBE+U, optimized geometry)" crystal_system=cubic sg="No. 221" dft_energy_ev_per_atom=-5.747 dos_at_fermi_per_ev_cell=3.1 pbc="T T T"
O 1.8745 0.0000 0.0000
O 0.0000 0.0000 1.8745
O 0.0000 1.8745 0.0000
P 0.0000 0.0000 0.0000
W 1.8745 1.8745 1.8745



[4]
8
Lattice="-5.0289 -0.9419 -1.5871 2.7588 -2.1570 4.0537 -0.9031 3.9438 2.0964" Properties=species:S:1:pos:R:3 comment="PWO6 (PBE+U, optimized geometry)" crystal_system=monoclinic sg="No. 12" dft_energy_ev_per_atom=-6.740 dos_at_fermi_per_ev_cell=3.3 pbc="T T T"
P -1.5866 0.4225 2.2815
O -1.8437 0.3737 0.5799
O -1.2626 2.0638 2.1878
O -1.3296 0.4713 3.9831
O -3.2430 0.7698 2.5972
O -1.9106 -1.2188 2.3753
O 0.0697 0.0751 1.9658
W 0.0000 0.0000 0.0000



[5]
92
Lattice="-31.2335 16.3003 10.4930 -2.0343 -4.8242 1.4387 2.4906 0.7986 6.1729" Properties=species:S:1:pos:R:3 comment="PW5O17 (PBE+U, optimized geometry)" crystal_system=monoclinic sg="No. 4" dft_energy_ev_per_atom=-7.505 dos_at_fermi_per_ev_cell=2.8 pbc="T T T"
O -3.3053 1.7483 6.6830
O -28.9563 13.7460 15.3294
O -5.8580 1.6900 7.6920
O -14.5711 5.1828 7.0587
O -5.0960 2.8347 2.3840
O -16.6184 8.6269 9.9346
O -7.1688 4.5021 5.1279
O -19.2238 8.3408 10.8823
O -28.2199 14.8880 10.0239
O -4.4666 -0.6493 7.3099
O -9.9900 2.6667 10.3613
O -31.9131 12.2651 11.7685
O -9.0042 5.1144 9.7638
O -29.6551 11.9980 13.3234
O -3.5182 0.6476 2.0487
O -16.1677 7.3539 7.4940
O -9.4629 5.4877 5.0269
O -17.1618 4.8916 7.9935
O -12.9726 2.9699 6.6450
O -12.5313 2.5920 11.4316
O -17.6098 6.1549 10.4358
O -20.1992 9.7346 8.7416
O -19.7085 4.9231 9.0894
O -22.7648 9.4603 9.6889
O -27.1339 12.0732 12.3376
O -9.6556 1.7935 7.7901
O 0.8934 -0.1889 5.2368
O -21.1037 11.5055 13.8203
O -24.5757 12.2839 11.4750
O -27.7463 10.2776 10.3476
O -13.0403 7.4079 11.0986
O -0.7921 1.9884 5.5627
O -25.9335 9.1977 14.6296
O -6.5934 -0.0653 5.7005
O -4.6938 -1.7043 2.6543
O -4.0219 0.0032 4.6921
O -20.8025 10.5754 11.2682
O -12.5911 6.2621 8.6343
O -24.2217 8.0926 13.1827
O -5.4615 2.3303 5.0518
O -8.6659 0.2433 3.9458
O -15.6366 7.1510 12.0317
O -26.6293 12.6568 9.7060
O -8.6050 4.4059 7.1492
O -22.0257 9.1927 14.3721
O -1.4419 0.0004 3.7297
O -7.5275 2.8723 9.1262
O -17.2469 9.3673 12.4817
O -25.7670 9.7448 12.1631
O -20.7145 6.8479 14.0521
O -7.6000 2.4810 3.3457
O -21.1864 7.2461 9.3101
O -30.7283 14.6303 11.1608
O -27.5230 11.4132 14.9723
O -11.0507 4.0673 8.2556
O -14.0018 4.9262 11.6314
O -18.2036 6.9012 13.0137
O -2.6214 -2.3734 4.2940
O -28.4872 14.3951 12.7151
O -25.0922 10.3639 9.5974
O -30.1226 16.5690 12.9929
O -13.5839 3.7737 9.1837
O -21.7906 8.1047 11.8686
O -26.3788 13.7795 14.3401
O -12.0040 5.4279 6.0718
O -2.0908 -1.6868 1.6888
O -16.0825 3.7573 10.2948
O -0.2785 -2.5584 5.7961
W -21.3666 5.4360 8.4725
W -4.8261 0.7920 6.1649
W -28.1297 12.9490 13.8692
W -13.3640 1.2962 5.8998
W 0.1736 1.1215 4.0388
W -17.3686 7.7044 11.4266
W -24.9299 14.9013 14.7301
W -5.9632 3.6278 3.8019
W -2.9830 -0.8707 3.1755
W -20.8895 8.8411 10.2393
W -26.2750 11.2798 10.9128
W -12.8954 4.6740 7.6782
W -14.4065 3.2337 10.8863
W -29.9484 14.5918 16.8479
W -29.2712 15.7735 11.5523
W -1.6152 2.7703 7.0132
W -16.3852 5.8016 6.4830
W -9.3805 3.5409 8.8307
W -22.3847 7.3791 13.4866
W -17.8875 4.3357 9.6772
P -10.2732 0.4465 7.3682
P -23.9658 9.7144 8.7661
P -23.6302 13.4597 11.7867
P -6.1349 2.2072 9.1113



[6]
60
Lattice="-2.2345 -6.9322 -3.2935 3.8831 2.3178 -6.6326 10.6608 -5.4902 4.3228" Properties=species:S:1:pos:R:3 comment="P2W2O11 (PBE+U, optimized geometry)" crystal_system=monoclinic sg="No. 11" dft_energy_ev_per_atom=-7.358 de_polymorph_mev_per_atom=9 dos_at_fermi_per_ev_cell=0.0 pbc="T T T"
O 5.2000 -4.9584 0.5483
O 8.0464 -1.8639 -2.4501
O 11.3734 -6.0187 -1.7119
O 0.9360 -4.0859 -3.8914
O 5.7307 -0.8053 -5.7590
O 11.1522 -9.2832 -1.9909
O 2.2761 -2.6571 -8.1115
O -0.5187 -5.7782 -5.0920
O 0.0000 0.0000 0.0000
O 9.7182 -4.8327 1.7711
O 4.6160 -3.2720 -6.1426
O 10.3161 -8.5482 -4.4904
O 4.6816 -6.3485 -6.5267
O 2.9784 -1.2002 -5.3126
O 2.2908 -4.0610 -1.4105
O 9.3310 -8.9044 -0.2907
O 6.2911 -2.9062 -3.9693
O 1.9932 -1.5564 -1.1129
O 1.1571 -0.8214 -3.6124
O 10.0333 -7.4475 2.5082
O 3.5725 -3.3131 -3.6215
O 5.9832 -6.6212 -4.0869
O 7.6277 -3.7561 0.9234
O 2.8660 -5.7109 -4.9245
O 6.0182 -7.1984 -1.6340
O 1.5484 -6.4336 -2.5928
O 12.8280 -4.3264 -0.5113
O 4.7429 -0.7155 -3.2088
O 7.1093 -5.1462 -6.1516
O 6.3261 -3.4835 -1.5164
O 2.5911 -5.2719 -7.3744
O 4.0452 -2.6131 -0.2808
O 4.2629 -8.2407 -3.1532
O 9.4433 -4.3937 -0.6788
O 10.7610 -3.6710 -3.0105
O 8.7368 -6.7915 -1.9818
O 4.2207 -5.7775 -2.5595
O 6.5786 -9.2993 0.1556
O 7.6934 -6.8326 0.5393
O 10.0185 -6.0436 -4.1928
O 8.2641 -7.4915 -5.3225
O 7.5664 -9.3891 -2.3945
O 8.0886 -4.3271 -3.0438
O 5.3304 -2.7451 2.1614
W 11.0630 -6.0611 2.5399
W 6.5393 -6.7694 -5.9970
W 9.8469 -5.0533 -2.5120
W 1.2463 -4.0435 -8.1432
W 5.7700 -3.3352 0.3937
W 2.4624 -5.0513 -3.0913
W 7.7416 -7.8444 -0.8646
W 4.5677 -2.2602 -4.7387
P 12.4525 -5.7877 -0.6062
P 9.7810 -7.2538 -5.1441
P -0.1431 -4.3169 -4.9971
P 7.1973 -3.0813 -2.7371
P 3.1455 -6.2802 -6.3368
P 2.5283 -2.8508 -0.4592
P 9.1639 -3.8244 0.7334
P 5.1120 -7.0233 -2.8662



[7]
34
Lattice="-1.2511 -3.6181 8.2360 -6.6965 -5.8620 1.8112 1.5177 -8.7761 1.7788" Properties=species:S:1:pos:R:3 comment="P3W2O12 (PBE+U, optimized geometry)" crystal_system=trigonal sg="No. 148" dft_energy_ev_per_atom=-7.472 de_polymorph_mev_per_atom=0 dos_at_fermi_per_ev_cell=0.0 pbc="T T T"
W -0.9209 -2.6146 1.6937
W -4.1482 -11.7779 7.6295
W -2.2817 -6.4783 4.1966
W -5.5090 -15.6416 10.1324
O -5.4259 -11.8218 9.2424
O -3.4983 -5.1861 3.1546
O -0.9977 -7.7453 5.1990
O -3.5578 -12.5481 3.6750
O -4.3920 -10.1701 2.5986
O -2.0379 -8.0861 9.2274
O -5.1403 -13.4321 6.9118
O -3.1318 -10.1628 8.4152
O -5.1709 -6.5910 7.7003
O -1.0040 -6.4344 2.5837
O 0.3906 -9.2814 6.5710
O -2.8721 -5.7081 8.1511
O -5.4322 -10.5109 6.6271
O -1.2896 -4.8241 4.9143
O -1.2590 -11.6652 4.1258
O 0.4334 -9.5106 4.0784
O -6.8633 -8.7457 7.7476
O -3.5514 -6.4416 5.8230
O -6.8205 -8.9748 5.2550
O -3.2981 -8.0934 3.4109
O -0.6549 -10.1542 8.9488
O -5.7750 -8.1020 2.8772
O -2.8785 -11.8146 6.0031
O -2.9316 -13.0701 8.6714
P -4.0103 -5.7442 7.0990
P 0.3366 -8.4827 5.2350
P -2.0573 -9.6377 9.3612
P -4.3726 -8.6186 2.4648
P -6.7665 -9.7735 6.5910
P -2.4196 -12.5120 4.7270



[8]
68
Lattice="8.7458 0.0000 -0.0016 0.0000 8.8856 0.0000 0.0820 0.0000 12.2255" Properties=species:S:1:pos:R:3 comment="P3W2O12 (PBE+U, optimized geometry)" crystal_system=monoclinic sg="No. 14" dft_energy_ev_per_atom=-7.470 de_polymorph_mev_per_atom=2 dos_at_fermi_per_ev_cell=0.0 pbc="T T T"
O 0.6258 3.1990 6.9460
O 8.2217 5.4266 10.5977
O 7.1213 3.8554 0.4729
O 0.6677 0.6254 10.2797
O 1.4307 4.4257 9.3592
O 8.1600 8.2601 1.9442
O 1.3204 8.1882 0.3356
O 7.7683 2.4764 10.0977
O 7.9007 1.2196 6.9937
O 6.0383 8.2982 5.6374
O 3.3544 1.9664 3.9858
O 0.6060 3.4589 1.6261
O 3.4868 3.2232 0.8818
O 3.7262 6.0838 1.1332
O 1.7254 8.8241 2.7166
O 3.8281 5.0682 8.0577
O 3.0651 8.8685 8.9782
O 5.1015 2.8018 11.0906
O 7.4269 3.0703 5.3540
O 4.9576 1.2438 0.8324
O 5.7343 5.1401 6.4475
O 5.7327 7.5131 0.7563
O 5.0199 0.9838 7.7380
O 5.3409 5.6624 11.3420
O 7.5073 0.6974 11.8883
O 0.9270 7.6660 5.2301
O 1.4806 6.8539 10.0323
O 8.1401 7.2445 7.2451
O 7.3970 4.4599 2.8647
O 3.0950 1.3725 11.4676
O 3.8078 7.9017 4.4858
O 6.1393 4.5043 8.8285
O 1.0595 6.4091 2.1261
O 3.8701 7.6418 11.3914
O 5.4733 6.9192 8.2381
O 4.9996 3.8174 4.1661
O 1.4008 5.8152 6.8698
O 0.6877 1.6410 4.9787
O 8.2020 5.6866 5.2779
O 7.3471 2.0317 2.1916
O 2.6885 4.3813 3.3954
O 5.8125 6.4744 3.9188
O 7.1024 0.0615 9.5073
O 3.0935 3.7454 5.7764
O 3.0153 2.4111 8.3051
O 1.7064 5.0301 11.7510
O 2.7894 0.5874 6.5864
O 5.7626 0.0171 3.2457
W 2.2197 0.3167 4.6519
W 6.6053 4.7741 4.6661
W 2.2224 4.1114 7.5577
W 6.6336 4.1260 10.7639
W 2.2734 8.5542 10.7797
W 2.1942 4.7595 1.4600
W 6.5543 0.3313 1.4442
W 6.6080 8.5688 7.5719
P 3.4809 3.4409 4.3224
P 0.3241 6.6574 6.1720
P 1.0062 5.4377 10.4552
P 0.9330 7.8837 1.7896
P 5.3381 7.8906 4.3417
P 3.4896 0.9949 7.8822
P 4.6559 6.6710 0.0584
P 4.1718 2.2146 12.1654
P 7.8948 1.0019 10.4343
P 7.8215 3.4479 1.7687
P 5.3469 5.4447 7.9015
P 8.5037 2.2282 6.0519



[9]
5
Lattice="4.1980 0.0000 0.0000 0.0000 4.1980 0.0000 0.0000 0.0000 4.1980" Properties=species:S:1:pos:R:3 comment="PW3O (PBE+U, optimized geometry)" crystal_system=cubic sg="No. 221" dft_energy_ev_per_atom=-5.459 de_polymorph_mev_per_atom=0 dos_at_fermi_per_ev_cell=2.7 pbc="T T T"
W 0.0000 2.0990 0.0000
W 2.0990 0.0000 0.0000
W 0.0000 0.0000 2.0990
P 2.0990 2.0990 2.0990
O 0.0000 0.0000 0.0000



[10]
5
Lattice="3.8454 0.0000 0.0000 0.0000 3.8454 0.0000 0.0000 0.0000 5.2260" Properties=species:S:1:pos:R:3 comment="ZnPWO2 (PBE+U, optimized geometry)" crystal_system=tetragonal sg="No. 123" dft_energy_ev_per_atom=-5.653 de_polymorph_mev_per_atom=0 dos_at_fermi_per_ev_cell=1.0 pbc="T T T"
P 0.0000 0.0000 2.6130
Zn 1.9227 1.9227 2.6130
O 1.9227 0.0000 0.0000
O 0.0000 1.9227 0.0000
W 0.0000 0.0000 0.0000



[11]
5
Lattice="4.9606 0.0000 0.0000 0.0000 3.4633 0.0000 0.0000 0.0000 4.9606" Properties=species:S:1:pos:R:3 comment="ZnPW2O (PBE+U, optimized geometry)" crystal_system=tetragonal sg="No. 123" dft_energy_ev_per_atom=-4.555 dos_at_fermi_per_ev_cell=2.0 pbc="T T T"
O 0.0000 1.7317 0.0000
W 2.4803 0.0000 0.0000
W 0.0000 0.0000 2.4803
Zn 2.4803 1.7317 2.4803
P 0.0000 0.0000 0.0000



[12]
5
Lattice="3.8032 0.0000 0.0000 0.0000 3.8032 0.0000 0.0000 0.0000 4.9894" Properties=species:S:1:pos:R:3 comment="ZnPWO2 (PBE+U, optimized geometry)" crystal_system=tetragonal sg="No. 123" dft_energy_ev_per_atom=-4.503 de_polymorph_mev_per_atom=1150 dos_at_fermi_per_ev_cell=3.1 pbc="T T T"
P 0.0000 0.0000 2.4947
W 1.9016 1.9016 2.4947
O 1.9016 0.0000 0.0000
O 0.0000 1.9016 0.0000
Zn 0.0000 0.0000 0.0000



[13]
5
Lattice="-0.5953 -2.9098 2.6799 -0.6936 -2.5913 -2.9677 5.5251 -1.2856 -0.1687" Properties=species:S:1:pos:R:3 comment="ZrPWO2 (PBE+U, optimized geometry)" crystal_system=tetragonal sg="No. 123" dft_energy_ev_per_atom=-7.211 de_polymorph_mev_per_atom=28 dos_at_fermi_per_ev_cell=1.7 pbc="T T T"
W 2.1181 -3.3934 -0.2282
O -0.2976 -1.4549 1.3399
O -0.3468 -1.2957 -1.4839
Zr 0.0000 0.0000 0.0000
P 2.7625 -0.6428 -0.0843



[14]
5
Lattice="5.0969 0.0000 0.0000 0.0000 5.0969 0.0000 0.0000 0.0000 3.9665" Properties=species:S:1:pos:R:3 comment="ZrP2WO (PBE+U, optimized geometry)" crystal_system=tetragonal sg="No. 123" dft_energy_ev_per_atom=-6.354 de_polymorph_mev_per_atom=338 dos_at_fermi_per_ev_cell=2.7 pbc="T T T"
P 0.0000 2.5485 0.0000
P 2.5485 0.0000 0.0000
W 2.5485 2.5485 1.9833
Zr 0.0000 0.0000 0.0000
O 0.0000 0.0000 1.9833